Computed, not measured: a relaxed structure of Sm8Rh3SeBr4 at the PBE level of DFT.

Lattice parameters (Å, degrees): 8.987 8.987 8.987 55.24 55.24 55.24
Atoms (fractional coordinates):
Sm 0.213 0.743 0.743
Sm 0.231 0.231 0.231
Sm 0.257 0.257 0.787
Sm 0.257 0.787 0.257
Sm 0.743 0.213 0.743
Sm 0.743 0.743 0.213
Sm 0.769 0.769 0.769
Sm 0.787 0.257 0.257
Rh 0.000 0.000 0.500
Rh 0.000 0.500 0.000
Rh 0.500 0.000 0.000
Se 0.500 0.500 0.500
Br 0.000 0.000 0.000
Br 0.000 0.500 0.500
Br 0.500 0.000 0.500
Br 0.500 0.500 0.000

Size of the total moment   0.00 μB per cell
Total energy   -5.514 eV per atom
N(E_F)   0.56 states/eV per atom
ΔE_f (raw)   -1140 meV per atom



Computed, not measured: a relaxed structure of SiAgRh2Cl at the PBE level of DFT.

Lattice parameters (Å, degrees): 4.490 4.490 4.859 90.00 90.00 90.00
Atoms (fractional coordinates):
Si 0.000 0.000 0.000
Ag 0.000 0.000 0.500
Rh 0.000 0.500 0.000
Rh 0.500 0.000 0.000
Cl 0.500 0.500 0.500

Size of the total moment   0.82 μB per cell
Total energy   -4.528 eV per atom
N(E_F)   0.92 states/eV per atom
ΔE_f (raw)   437 meV per atom



Computed, not measured: a relaxed structure of MnNiH at the PBE level of DFT.

Lattice parameters (Å, degrees): 4.109 2.550 4.490 90.00 90.06 90.00
Atoms (fractional coordinates):
Mn 0.234 0.250 0.080
Mn 0.766 0.750 0.920
Ni 0.240 0.750 0.585
Ni 0.760 0.250 0.415
H 0.500 0.250 0.753
H 0.500 0.750 0.247

Size of the total moment   0.00 μB per cell
Total energy   -6.072 eV per atom
N(E_F)   1.24 states/eV per atom



Computed, not measured: a relaxed structure of Ba2CaGaO5 at the PBE level of DFT.

Lattice parameters (Å, degrees): 7.774 7.774 11.361 90.00 90.00 153.56
Atoms (fractional coordinates):
Ba 0.105 0.895 0.500
Ba 0.147 0.853 0.148
Ba 0.853 0.147 0.648
Ba 0.895 0.105 0.000
Ca 0.194 0.806 0.847
Ca 0.806 0.194 0.347
Ga 0.456 0.544 0.250
Ga 0.544 0.456 0.750
O 0.031 0.969 0.826
O 0.287 0.713 0.485
O 0.335 0.665 0.212
O 0.345 0.655 0.830
O 0.486 0.514 0.608
O 0.514 0.486 0.108
O 0.655 0.345 0.330
O 0.665 0.335 0.712
O 0.713 0.287 0.985
O 0.969 0.031 0.326

Size of the total moment   2.11 μB per cell
Total energy   -5.983 eV per atom
N(E_F)   0.66 states/eV per atom
ΔE_f (raw)   -2243 meV per atom



Computed, not measured: a relaxed structure of CrTc2Ir at the PBE level of DFT.

Lattice parameters (Å, degrees): 8.913 8.913 8.913 17.52 17.52 17.52
Atoms (fractional coordinates):
Cr 0.000 0.000 0.000
Tc 0.500 0.500 0.500
Tc 0.750 0.750 0.750
Ir 0.256 0.256 0.256

Size of the total moment   0.00 μB per cell
Total energy   -9.775 eV per atom
N(E_F)   1.05 states/eV per atom
ΔE to the lowest computed polymorph   80 meV per atom



Computed, not measured: a relaxed structure of SrHoCdHg at the PBE level of DFT.

Lattice parameters (Å, degrees): 3.856 3.856 7.754 90.00 90.00 90.00
Atoms (fractional coordinates):
Sr 0.000 0.000 0.000
Ho 0.000 0.000 0.509
Cd 0.500 0.500 0.285
Hg 0.500 0.500 0.719

Size of the total moment   0.00 μB per cell
Total energy   -2.278 eV per atom
N(E_F)   0.70 states/eV per atom
ΔE to the lowest computed polymorph   0 meV per atom



Computed, not measured: a relaxed structure of CsPuTe2O8 at the PBE level of DFT.

Lattice parameters (Å, degrees): 6.170 6.170 8.351 90.00 90.00 120.00
Atoms (fractional coordinates):
Cs 0.000 0.000 0.000
Pu 0.000 0.000 0.500
Te 0.333 0.667 0.651
Te 0.667 0.333 0.349
O 0.037 0.288 0.636
O 0.251 0.963 0.636
O 0.288 0.251 0.364
O 0.333 0.667 0.868
O 0.667 0.333 0.132
O 0.712 0.749 0.636
O 0.749 0.037 0.364
O 0.963 0.712 0.364

Size of the total moment   0.97 μB per cell
Total energy   -6.601 eV per atom
ΔE_f (raw)   -1507 meV per atom